[1]
! LiCeTlHg PBE relaxed; values from VASP
! **SG**: No. 216
&SYSTEM
  ibrav = 0, nat = 4, ntyp = 4
/
ATOMIC_SPECIES
Li 6.94 Li.upf
Ce 140.12 Ce.upf
Hg 200.59 Hg.upf
Tl 204.38 Tl.upf
CELL_PARAMETERS angstrom
5.208 0.000 0.000
2.604 4.510 0.000
2.604 1.503 4.252
ATOMIC_POSITIONS angstrom
Li 0.000 0.000 0.000
Ce 5.208 3.007 2.126
Hg 7.811 4.510 3.189
Tl 2.604 1.503 1.063

***

[2]
! LiCeTmHg PBE relaxed; values from VASP
! **SG**: No. 216
&SYSTEM
  ibrav = 0, nat = 4, ntyp = 4
/
ATOMIC_SPECIES
Hg 200.59 Hg.upf
Tm 168.93 Tm.upf
Ce 140.12 Ce.upf
Li 6.94 Li.upf
CELL_PARAMETERS angstrom
-2.788 3.823 -2.303
-3.205 -1.136 -4.016
-5.217 0.212 0.656
ATOMIC_POSITIONS angstrom
Hg -5.605 1.449 -2.832
Tm -8.408 2.174 -4.247
Ce -2.803 0.725 -1.416
Li 0.000 0.000 0.000

***

[3]
! LiCeTm2Hg4 PBE relaxed; values from VASP
! **SG**: No. 166
&SYSTEM
  ibrav = 0, nat = 8, ntyp = 4
/
ATOMIC_SPECIES
Hg 200.59 Hg.upf
Li 6.94 Li.upf
Tm 168.93 Tm.upf
Ce 140.12 Ce.upf
CELL_PARAMETERS angstrom
-0.741 -5.003 0.668
2.205 -3.349 -3.154
7.478 -3.120 4.414
ATOMIC_POSITIONS angstrom
Hg 2.046 -5.619 -0.854
Hg 6.895 -5.852 2.782
Li 4.471 -5.736 0.964
Hg 4.805 -2.991 2.409
Tm 2.359 -2.874 0.575
Ce 0.000 0.000 0.000
Tm 6.582 -8.598 1.353
Hg 4.137 -8.480 -0.481

***

[4]
! LiCe2TmHg4 PBE relaxed; values from VASP
! **SG**: No. 166
&SYSTEM
  ibrav = 0, nat = 8, ntyp = 4
/
ATOMIC_SPECIES
Hg 200.59 Hg.upf
Ce 140.12 Ce.upf
Li 6.94 Li.upf
Tm 168.93 Tm.upf
CELL_PARAMETERS angstrom
5.243 0.000 0.000
2.621 4.540 0.000
2.621 1.513 8.604
ATOMIC_POSITIONS angstrom
Hg 2.621 1.513 5.363
Ce 2.621 1.513 2.206
Hg 7.864 4.540 3.241
Hg 5.243 3.027 1.083
Hg 5.243 3.027 7.522
Ce 7.864 4.540 6.398
Li 5.243 3.027 4.302
Tm 0.000 0.000 0.000

***

[5]
! LiCe2YHg4 PBE relaxed; values from VASP
! **SG**: No. 166
&SYSTEM
  ibrav = 0, nat = 8, ntyp = 4
/
ATOMIC_SPECIES
Hg 200.59 Hg.upf
Y 88.91 Y.upf
Li 6.94 Li.upf
Ce 140.12 Ce.upf
CELL_PARAMETERS angstrom
-1.701 -4.653 1.765
3.347 -4.033 0.427
2.404 -0.496 8.845
ATOMIC_POSITIONS angstrom
Hg 1.704 -1.402 5.783
Hg 2.347 -7.781 5.254
Y 0.000 0.000 0.000
Li 2.025 -4.591 5.518
Ce 3.022 -6.907 8.210
Hg 2.717 -3.697 8.543
Ce 1.028 -2.276 2.827
Hg 1.334 -5.486 2.494

***

[6]
! Li2CeYHg4 PBE relaxed; values from VASP
! **SG**: No. 166
&SYSTEM
  ibrav = 0, nat = 8, ntyp = 4
/
ATOMIC_SPECIES
Hg 200.59 Hg.upf
Li 6.94 Li.upf
Ce 140.12 Ce.upf
Y 88.91 Y.upf
CELL_PARAMETERS angstrom
-1.668 1.832 4.455
-2.491 -3.049 3.238
5.820 -2.508 6.127
ATOMIC_POSITIONS angstrom
Hg -1.833 -1.085 5.593
Li 0.441 -0.939 3.468
Hg 3.074 -1.707 4.769
Hg 3.494 -2.639 8.227
Ce 0.000 0.000 0.000
Li 1.220 -2.786 10.352
Y 0.831 -1.862 6.910
Hg -1.413 -2.018 9.050

***

[7]
! LiCeYHg PBE relaxed; values from VASP
! **SG**: No. 216
&SYSTEM
  ibrav = 0, nat = 4, ntyp = 4
/
ATOMIC_SPECIES
Li 6.94 Li.upf
Y 88.91 Y.upf
Ce 140.12 Ce.upf
Hg 200.59 Hg.upf
CELL_PARAMETERS angstrom
5.301 0.000 0.000
2.651 4.591 0.000
2.651 1.530 4.329
ATOMIC_POSITIONS angstrom
Li 0.000 0.000 0.000
Y 7.952 4.591 3.246
Ce 2.651 1.530 1.082
Hg 5.301 3.061 2.164

***

[8]
! Li2CeZnHg4 PBE relaxed; values from VASP
! **SG**: No. 166
&SYSTEM
  ibrav = 0, nat = 8, ntyp = 4
/
ATOMIC_SPECIES
Hg 200.59 Hg.upf
Zn 65.41 Zn.upf
Li 6.94 Li.upf
Ce 140.12 Ce.upf
CELL_PARAMETERS angstrom
-4.396 -0.997 -1.234
-0.840 -2.383 -3.931
-1.266 -9.062 2.987
ATOMIC_POSITIONS angstrom
Hg -3.098 -8.749 0.411
Zn -3.251 -6.221 -1.089
Li -1.598 -3.558 -0.279
Hg -1.445 -6.104 1.232
Hg -3.403 -3.694 -2.588
Li -4.903 -8.885 -1.898
Hg -5.057 -6.339 -3.409
Ce 0.000 0.000 0.000

***

[9]
! CeLuMgHg PBE relaxed; values from VASP
! **SG**: No. 216
&SYSTEM
  ibrav = 0, nat = 4, ntyp = 4
/
ATOMIC_SPECIES
Hg 200.59 Hg.upf
Lu 174.97 Lu.upf
Ce 140.12 Ce.upf
Mg 24.30 Mg.upf
CELL_PARAMETERS angstrom
5.317 0.000 0.000
2.658 4.604 0.000
2.658 1.535 4.341
ATOMIC_POSITIONS angstrom
Hg 5.317 3.070 2.171
Lu 2.658 1.535 1.085
Ce 7.975 4.604 3.256
Mg 0.000 0.000 0.000

***

[10]
! CeLuNiHg PBE relaxed; values from VASP
! **SG**: No. 216
&SYSTEM
  ibrav = 0, nat = 4, ntyp = 4
/
ATOMIC_SPECIES
Lu 174.97 Lu.upf
Ni 58.69 Ni.upf
Ce 140.12 Ce.upf
Hg 200.59 Hg.upf
CELL_PARAMETERS angstrom
-0.697 4.920 0.955
-2.310 2.938 -3.412
-4.653 1.765 0.917
ATOMIC_POSITIONS angstrom
Lu -3.829 4.812 -0.770
Ni -5.744 7.217 -1.155
Ce 0.000 0.000 0.000
Hg -1.915 2.406 -0.385

***

[11]
! CeLuPaHg PBE relaxed; values from VASP
! **SG**: No. 216
&SYSTEM
  ibrav = 0, nat = 4, ntyp = 4
/
ATOMIC_SPECIES
Lu 174.97 Lu.upf
Hg 200.59 Hg.upf
Ce 140.12 Ce.upf
Pa 231.04 Pa.upf
CELL_PARAMETERS angstrom
5.262 0.000 0.000
2.631 4.557 0.000
2.631 1.519 4.296
ATOMIC_POSITIONS angstrom
Lu 0.000 0.000 0.000
Hg 2.631 1.519 1.074
Ce 5.262 3.038 2.148
Pa 7.893 4.557 3.222

***

[12]
! CeLuHgPb PBE relaxed; values from VASP
! **SG**: No. 216
&SYSTEM
  ibrav = 0, nat = 4, ntyp = 4
/
ATOMIC_SPECIES
Pb 207.20 Pb.upf
Hg 200.59 Hg.upf
Ce 140.12 Ce.upf
Lu 174.97 Lu.upf
CELL_PARAMETERS angstrom
5.377 0.000 0.000
2.688 4.656 0.000
2.688 1.552 4.390
ATOMIC_POSITIONS angstrom
Pb 2.688 1.552 1.098
Hg 8.065 4.656 3.293
Ce 0.000 0.000 0.000
Lu 5.377 3.104 2.195

***

[13]
! CePrLuHg PBE relaxed; values from VASP
! **SG**: No. 216
&SYSTEM
  ibrav = 0, nat = 4, ntyp = 4
/
ATOMIC_SPECIES
Pr 140.91 Pr.upf
Ce 140.12 Ce.upf
Lu 174.97 Lu.upf
Hg 200.59 Hg.upf
CELL_PARAMETERS angstrom
-3.315 -1.902 -3.939
2.116 -1.825 -4.723
-0.091 -5.364 -1.156
ATOMIC_POSITIONS angstrom
Pr -0.323 -2.273 -2.455
Ce -0.968 -6.819 -7.364
Lu -0.645 -4.546 -4.909
Hg 0.000 0.000 0.000

***

[14]
! CeLuPuHg PBE relaxed; values from VASP
! **SG**: No. 216
&SYSTEM
  ibrav = 0, nat = 4, ntyp = 4
/
ATOMIC_SPECIES
Hg 200.59 Hg.upf
Pu 244.00 Pu.upf
Ce 140.12 Ce.upf
Lu 174.97 Lu.upf
CELL_PARAMETERS angstrom
5.291 0.000 0.000
2.646 4.582 0.000
2.646 1.527 4.320
ATOMIC_POSITIONS angstrom
Hg 5.291 3.055 2.160
Pu 0.000 0.000 0.000
Ce 2.646 1.527 1.080
Lu 7.937 4.582 3.240

***

[15]
! CeLuHgRu PBE relaxed; values from VASP
! **SG**: No. 216
&SYSTEM
  ibrav = 0, nat = 4, ntyp = 4
/
ATOMIC_SPECIES
Ce 140.12 Ce.upf
Ru 101.07 Ru.upf
Lu 174.97 Lu.upf
Hg 200.59 Hg.upf
CELL_PARAMETERS angstrom
-4.193 1.613 2.284
-0.965 -1.368 4.754
0.299 3.398 3.711
ATOMIC_POSITIONS angstrom
Ce 0.000 0.000 0.000
Ru -3.644 2.731 8.061
Lu -2.430 1.821 5.374
Hg -1.215 0.910 2.687

***

[16]
! CeLuSiHg PBE relaxed; values from VASP
! **Formation energy (no corrections)**: -388 meV per atom
! **SG**: No. 216
&SYSTEM
  ibrav = 0, nat = 4, ntyp = 4
/
ATOMIC_SPECIES
Si 28.09 Si.upf
Lu 174.97 Lu.upf
Hg 200.59 Hg.upf
Ce 140.12 Ce.upf
CELL_PARAMETERS angstrom
-2.781 -4.310 -0.139
1.570 -4.151 2.576
-2.550 -1.544 4.177
ATOMIC_POSITIONS angstrom
Si -2.820 -7.504 4.961
Lu 0.000 0.000 0.000
Hg -0.940 -2.501 1.654
Ce -1.880 -5.002 3.307

***

[17]
! CeSmLuHg PBE relaxed; values from VASP
! **SG**: No. 216
&SYSTEM
  ibrav = 0, nat = 4, ntyp = 4
/
ATOMIC_SPECIES
Lu 174.97 Lu.upf
Sm 150.36 Sm.upf
Hg 200.59 Hg.upf
Ce 140.12 Ce.upf
CELL_PARAMETERS angstrom
5.442 0.000 0.000
2.721 4.713 0.000
2.721 1.571 4.443
ATOMIC_POSITIONS angstrom
Lu 0.000 0.000 0.000
Sm 2.721 1.571 1.111
Hg 5.442 3.142 2.222
Ce 8.162 4.713 3.332

***

[18]
! TbCeLuHg PBE relaxed; values from VASP
! **SG**: No. 216
&SYSTEM
  ibrav = 0, nat = 4, ntyp = 4
/
ATOMIC_SPECIES
Tb 158.93 Tb.upf
Hg 200.59 Hg.upf
Lu 174.97 Lu.upf
Ce 140.12 Ce.upf
CELL_PARAMETERS angstrom
-1.907 2.726 -4.114
-3.589 -2.207 -3.201
-5.005 1.716 0.055
ATOMIC_POSITIONS angstrom
Tb 0.000 0.000 0.000
Hg -7.876 1.676 -5.445
Lu -5.251 1.117 -3.630
Ce -2.625 0.559 -1.815

***

[19]
! CeLuTcHg PBE relaxed; values from VASP
! **SG**: No. 216
&SYSTEM
  ibrav = 0, nat = 4, ntyp = 4
/
ATOMIC_SPECIES
Hg 200.59 Hg.upf
Lu 174.97 Lu.upf
Tc 98.00 Tc.upf
Ce 140.12 Ce.upf
CELL_PARAMETERS angstrom
5.040 0.000 0.000
2.520 4.365 0.000
2.520 1.455 4.115
ATOMIC_POSITIONS angstrom
Hg 7.560 4.365 3.086
Lu 0.000 0.000 0.000
Tc 2.520 1.455 1.029
Ce 5.040 2.910 2.058

***

[20]
! CeYLuHg PBE relaxed; values from VASP
! **SG**: No. 216
&SYSTEM
  ibrav = 0, nat = 4, ntyp = 4
/
ATOMIC_SPECIES
Y 88.91 Y.upf
Lu 174.97 Lu.upf
Hg 200.59 Hg.upf
Ce 140.12 Ce.upf
CELL_PARAMETERS angstrom
5.411 0.000 0.000
2.705 4.686 0.000
2.705 1.562 4.418
ATOMIC_POSITIONS angstrom
Y 8.116 4.686 3.313
Lu 5.411 3.124 2.209
Hg 0.000 0.000 0.000
Ce 2.705 1.562 1.104

***

[21]
! Ce5MgHg8 PBE relaxed; values from VASP
! **SG**: No. 82
&SYSTEM
  ibrav = 0, nat = 14, ntyp = 3
/
ATOMIC_SPECIES
Hg 200.59 Hg.upf
Mg 24.30 Mg.upf
Ce 140.12 Ce.upf
CELL_PARAMETERS angstrom
7.975 0.031 -0.054
-2.669 7.515 0.054
-2.637 -3.784 6.506
ATOMIC_POSITIONS angstrom
Hg 0.179 3.371 5.775
Hg 5.731 -1.888 4.649
Mg -1.318 0.927 4.893
Hg 1.376 -0.074 5.551
Hg 4.803 0.444 2.604
Ce 2.669 -1.877 3.226
Ce 2.715 0.930 0.184
Hg -1.047 5.452 0.075
Ce 2.625 2.503 3.921
Ce 4.136 5.530 1.684
Ce 6.473 2.377 0.663
Hg 0.475 0.589 2.513
Hg 1.462 3.717 1.160
Hg -2.303 3.437 3.698

***

[22]
! Ce2Mg5Hg4 PBE relaxed; values from VASP
! **SG**: No. 69
&SYSTEM
  ibrav = 0, nat = 11, ntyp = 3
/
ATOMIC_SPECIES
Hg 200.59 Hg.upf
Mg 24.30 Mg.upf
Ce 140.12 Ce.upf
CELL_PARAMETERS angstrom
6.007 0.000 0.000
3.003 4.949 0.000
3.003 0.000 9.441
ATOMIC_POSITIONS angstrom
Hg 6.007 3.369 2.465
Mg 7.508 2.475 4.721
Hg 3.003 1.581 2.465
Hg 9.010 3.369 6.977
Ce 3.003 0.000 7.337
Hg 6.007 1.581 6.977
Mg 3.003 0.000 0.000
Mg 4.505 2.475 0.000
Ce 6.007 0.000 2.104
Mg 4.505 2.475 4.721
Mg 1.502 2.475 0.000

***

[23]
! Ce4MgHg PBE relaxed; values from VASP
! **SG**: No. 15
&SYSTEM
  ibrav = 0, nat = 12, ntyp = 3
/
ATOMIC_SPECIES
Ce 140.12 Ce.upf
Hg 200.59 Hg.upf
Mg 24.30 Mg.upf
CELL_PARAMETERS angstrom
-4.383 0.963 3.396
-4.983 -0.175 -2.607
-2.097 -10.632 2.225
ATOMIC_POSITIONS angstrom
Ce -6.576 -2.322 1.033
Hg -3.540 -5.403 -0.191
Mg -6.550 -8.137 -0.876
Ce -3.851 -2.230 0.743
Ce -6.855 -4.887 0.081
Ce -7.610 -9.647 4.123
Ce -3.853 -0.197 -1.109
Ce -7.612 -7.614 2.271
Mg -4.913 -1.707 3.890
Ce -4.887 -7.522 1.981
Ce -4.608 -4.957 2.934
Hg -2.191 0.481 1.698

***

[24]
! CeMg4Hg2 PBE relaxed; values from VASP
! **Energy above the most stable polymorph in this dataset**: 0 meV per atom
! **SG**: No. 136
&SYSTEM
  ibrav = 0, nat = 14, ntyp = 3
/
ATOMIC_SPECIES
Hg 200.59 Hg.upf
Mg 24.30 Mg.upf
Ce 140.12 Ce.upf
CELL_PARAMETERS angstrom
4.664 0.000 0.000
0.000 8.486 0.000
0.000 0.000 8.486
ATOMIC_POSITIONS angstrom
Hg 2.332 2.468 2.468
Hg 0.000 6.711 1.775
Mg 0.000 7.687 5.575
Hg 0.000 1.775 6.711
Mg 2.332 7.154 3.444
Mg 0.000 0.799 2.911
Mg 0.000 2.911 0.799
Ce 0.000 4.243 4.243
Mg 2.332 1.332 5.042
Mg 2.332 5.042 1.332
Mg 2.332 3.444 7.154
Mg 0.000 5.575 7.687
Hg 2.332 6.018 6.018
Ce 2.332 0.000 0.000

***

[25]
! Ce3MgHg PBE relaxed; values from VASP
! **SG**: No. 11
&SYSTEM
  ibrav = 0, nat = 10, ntyp = 3
/
ATOMIC_SPECIES
Ce 140.12 Ce.upf
Hg 200.59 Hg.upf
Mg 24.30 Mg.upf
CELL_PARAMETERS angstrom
4.220 0.000 0.000
0.000 7.459 -0.287
0.000 -0.247 8.022
ATOMIC_POSITIONS angstrom
Ce 3.165 6.379 7.418
Hg 1.055 5.417 1.735
Ce 3.165 4.925 4.338
Mg 3.165 3.456 1.021
Mg 1.055 3.755 6.714
Ce 1.055 2.287 3.397
Ce 1.055 0.833 0.317
Ce 3.165 0.577 2.897
Hg 3.165 1.795 5.999
Ce 1.055 6.635 4.838

***

[26]
! Ce2MgHg3 PBE relaxed; values from VASP
! **Energy above the most stable polymorph in this dataset**: 0 meV per atom
! **SG**: No. 164
&SYSTEM
  ibrav = 0, nat = 12, ntyp = 3
/
ATOMIC_SPECIES
Hg 200.59 Hg.upf
Mg 24.30 Mg.upf
Ce 140.12 Ce.upf
CELL_PARAMETERS angstrom
-1.401 -4.794 1.549
3.597 0.589 -3.749
9.479 0.178 9.123
ATOMIC_POSITIONS angstrom
Hg 5.773 -2.896 5.084
Hg 5.903 -1.131 1.839
Mg 3.475 -2.939 2.873
Ce 0.000 0.000 0.000
Hg 10.559 -1.043 6.320
Ce 3.629 -1.173 -0.350
Ce 8.047 -2.853 7.272
Hg 1.116 -2.984 0.602
Hg 2.431 0.046 2.340
Mg 8.200 -1.087 4.050
Hg 7.048 0.133 6.783
Ce 4.740 0.089 4.561

***

For each record above, in turn, the calculated uncorrected energy values are -2.943 -3.246 -2.638 -2.788 -3.040 -2.577 -3.759 -1.782 -3.240 -4.389 -4.880 -3.973 -3.913 -6.303 -5.301 -4.433 -3.902 -3.823 -5.403 -4.346 -2.649 -2.072 -4.367 -2.053 -4.060 -2.731 eV per atom.
For each record above, in turn, the calculated N(E_F) values are 6.9 10.7 10.3 17.9 19.0 11.2 11.0 10.4 10.1 7.5 10.0 9.6 9.3 13.5 4.8 7.5 8.4 7.6 5.3 8.0 42.1 17.4 30.5 20.2 21.8 31.2 states/eV/cell.
For each record above, in turn, the calculated total magnetization values are 0.9 1.1 1.0 1.8 1.9 0.9 1.4 1.1 1.3 0.4 1.2 1.4 1.6 8.9 0.3 0.8 1.7 0.6 0.0 1.7 5.1 2.0 3.0 2.4 0.0 2.5 μB per cell.